Record 1
A plane-wave DFT calculation with PBE-GGA was carried out for a relaxed BeTe2AuN crystal.

The structure belongs to space group P4/mmm (No. 123); the cell edges are 5.6568, 5.6568 and 3.7624 Å and the angles 90.00°, 90.00° and 90.00°. The distinct sites, in fractional coordinates, are Be at (0.0000, 0.0000, 0.0000), Te at (0.0000, 0.5000, 0.5000), Au at (0.5000, 0.5000, 0.5000) and N at (0.5000, 0.5000, 0.0000).

The uncorrected formation energy is 1.3143 eV/atom. Its polymorph energy (0 for the lowest one) is 934 meV/atom.


Record 2
A plane-wave DFT calculation with PBE-GGA was carried out for a relaxed AcNd7Y3 crystal.

The structure belongs to space group P3m1 (No. 156); the cell edges are 7.3105, 7.3105 and 8.8116 Å and the angles 90.00°, 90.00° and 120.00°. The distinct sites, in fractional coordinates, are Ac at (0.0000, 0.0000, 0.0000), Nd at (0.0008, 0.5004, 0.9851), Nd at (0.3333, 0.6667, 0.3175), Nd at (0.3345, 0.1673, 0.3340) and Y at (0.1681, 0.3362, 0.6554).

Its polymorph energy (0 for the lowest one) is 0 meV/atom. The formation energy is 2.15 eV per formula unit.


Record 3
A plane-wave DFT calculation with PBE-GGA was carried out for a relaxed Er2PuCd6 crystal.

The structure belongs to space group P6/mmm (No. 191); the cell edges are 8.7347, 8.7347 and 3.2883 Å and the angles 90.00°, 90.00° and 120.00°. The distinct sites, in fractional coordinates, are Er at (0.3333, 0.6667, 0.0000), Pu at (0.0000, 0.0000, 0.0000) and Cd at (0.0000, 0.3358, 0.5000).

The formation energy is -1.99 eV per formula unit.


Record 4
A plane-wave DFT calculation with PBE-GGA was carried out for a relaxed TlRh2Au crystal.

The structure belongs to space group R-3m (No. 166, hexagonal axes); the cell edges are 3.0341, 3.0341 and 26.2593 Å and the angles 90.00°, 90.00° and 120.00°. The distinct sites, in fractional coordinates, are Tl at (0.0000, 0.0000, 0.0000), Rh at (0.0000, 0.0000, 0.2503) and Au at (0.0000, 0.0000, 0.5000).

The formation energy is 1.15 eV per formula unit.


Record 5
A plane-wave DFT calculation with PBE-GGA was carried out for a relaxed Ti2HgIrW crystal.

The structure belongs to space group P4/mmm (No. 123); the cell edges are 4.7955, 4.7955 and 4.7457 Å and the angles 90.00°, 90.00° and 90.00°. The distinct sites, in fractional coordinates, are Ti at (0.0000, 0.5000, 0.0000), Hg at (0.0000, 0.0000, 0.5000), Ir at (0.5000, 0.5000, 0.5000) and W at (0.5000, 0.5000, 0.0000).

The formation energy is 4.68 eV per formula unit.


Record 6
A plane-wave DFT calculation with PBE-GGA was carried out for a relaxed Ag5P crystal.

The structure belongs to space group Cm (No. 8); the cell edges are 10.6677, 2.9132 and 6.9905 Å and the angles 90.00°, 103.57° and 90.00°. The distinct sites, in fractional coordinates, are Ag at (0.0000, 0.0000, 0.0000), Ag at (0.0195, 0.0000, 0.6008), Ag at (0.1521, 0.5000, 0.3471), Ag at (0.3021, 0.0000, 0.6940), Ag at (0.3707, 0.0000, 0.2673) and P at (0.2140, 0.5000, 0.9712).

Its polymorph energy (0 for the lowest one) is 0 meV/atom. The formation energy is 0.86 eV per formula unit.


Record 7
A plane-wave DFT calculation with PBE-GGA was carried out for a relaxed NaMn3B crystal.

The structure belongs to space group Pm-3m (No. 221); the cell edges are 4.6180, 4.6180 and 4.6180 Å and the angles 90.00°, 90.00° and 90.00°. The distinct sites, in fractional coordinates, are Na at (0.0000, 0.0000, 0.0000), Mn at (0.0000, 0.0000, 0.5000) and B at (0.5000, 0.5000, 0.5000).

Its polymorph energy (0 for the lowest one) is 1996 meV/atom. The formation energy is 12.30 eV per formula unit.


Record 8
A plane-wave DFT calculation with PBE-GGA was carried out for a relaxed ScSb2Ir crystal.

The structure belongs to space group Immm (No. 71); the cell edges are 3.5371, 4.3247 and 12.6262 Å and the angles 90.00°, 90.00° and 90.00°. The distinct sites, in fractional coordinates, are Sc at (0.0000, 0.0000, 0.0000), Sb at (0.0000, 0.5000, 0.1678) and Ir at (0.0000, 0.0000, 0.5000).

The uncorrected formation energy is -0.3782 eV/atom. Its polymorph energy (0 for the lowest one) is 46 meV/atom.


no.,calculated total energy (eV per atom)
1,-3.0081
2,-4.9752
3,-3.4371
4,-4.7980
5,-6.6460
6,-3.1337
7,-4.6416
8,-6.2375